Density functional theory data (GGA+U) for a relaxed Pm5W2O12 crystal.

abc: 5.886 7.029 7.824
angles: 106.28 90.00 114.75
Site moments in Bohr magnetons follow the coordinates.
Fractional coordinates of all 19 atoms:
Pm 0.306 0.612 0.640  0.00
Pm 0.313 0.625 0.175  0.01
Pm 0.000 0.000 0.500  0.01
Pm 0.687 0.375 0.825  0.01
Pm 0.694 0.388 0.360  0.00
W 0.782 0.000 0.000  0.39
W 0.218 0.000 0.000  0.39
O 0.000 0.000 0.203  0.03
O 0.092 0.677 0.919  0.00
O 0.585 0.677 0.919  0.00
O 0.096 0.688 0.423  0.00
O 0.592 0.688 0.423  0.00
O 0.500 0.999 0.826  0.00
O 0.500 0.001 0.174  0.00
O 0.904 0.312 0.577  0.00
O 0.408 0.312 0.577  0.00
O 0.908 0.323 0.081  0.00
O 0.415 0.323 0.081  0.00
O 0.000 0.000 0.797  0.03

## Properties
space-group type: C2/m, No. 12
VASP energy: -8.11 eV per atom
total magnetization: 1.0 μB per formula unit